Material: Nb2SiSnIr2
Method: DFT, PBE
State: optimized geometry

The structure in extended XYZ format:
```
24
Lattice="10.5586 0.0000 0.0000 0.0000 4.3061 0.0000 -3.5253 0.0000 9.9825" Properties=species:S:1:pos:R:3 pbc="T T T"
Sn -2.6203 0.0000 7.5205
Sn 4.3820 2.1531 6.2486
Sn 0.8706 2.1531 8.7410
Sn 7.9150 2.1531 3.7075
Nb 6.1131 2.1531 1.2431
Nb 6.1645 2.1531 8.8368
Nb 6.1191 0.0000 4.9419
Nb -0.8241 2.1531 6.1690
Nb 2.6147 2.1531 3.7098
Nb 2.6185 0.0000 0.0753
Nb -0.8574 0.0000 2.5011
Nb 2.6746 0.0000 7.4937
Si 4.3664 0.0000 2.4891
Si 0.9057 0.0000 4.9546
Si 7.9133 0.0000 0.0392
Si 0.8733 2.1531 1.2766
Ir 0.0759 0.0000 7.3574
Ir 3.4519 2.1531 1.3046
Ir 3.5943 2.1531 8.8371
Ir 7.0338 2.1531 6.2278
Ir 3.4561 0.0000 4.8991
Ir 6.9444 0.0000 2.4012
Ir -0.0066 0.0000 0.1259
Ir 0.0708 2.1531 3.7148
```

V   18.9 Å³/atom
Total energy   -203.6 eV per cell
Spin magnetization   0.00 Bohr magnetons per cell


Material: TlAg3Te4Pd
Method: DFT, PBE
State: optimized geometry

The structure in extended XYZ format:
```
9
Lattice="6.5540 0.0000 0.0000 0.0000 6.5540 0.0000 0.0000 0.0000 6.5540" Properties=species:S:1:pos:R:3 pbc="T T T"
Tl 0.0000 0.0000 0.0000
Ag 0.0000 3.2770 3.2770
Ag 3.2770 0.0000 3.2770
Ag 3.2770 3.2770 0.0000
Te 4.8359 1.7181 4.8359
Te 1.7181 1.7181 1.7181
Te 4.8359 4.8359 1.7181
Te 1.7181 4.8359 4.8359
Pd 3.2770 3.2770 3.2770
```

V   31.3 Å³/atom
Total energy   -29.2 eV per cell


Material: ZnCu2Sb
Method: DFT, PBE
State: optimized geometry

The structure in extended XYZ format:
```
16
Lattice="-0.3478 5.9022 2.3723 -5.1614 -1.6505 3.3498 3.7181 -1.7392 4.8720" Properties=species:S:1:pos:R:3 pbc="T T T"
Sb -0.8955 1.2563 5.2971
Sb 1.6852 2.0815 3.6222
Sb -0.7217 -1.6948 4.1109
Sb -2.7546 2.1258 2.8611
Cu -3.2705 -0.3621 4.2129
Cu -1.3941 1.9557 8.2462
Cu -0.3970 0.5568 2.3480
Cu 1.4794 2.8746 6.3812
Cu 1.6731 -0.4114 5.0604
Cu -1.2005 -1.3303 6.9254
Cu -3.4642 2.9240 5.5337
Cu -0.5906 3.8429 3.6687
Zn 0.0000 0.0000 0.0000
Zn -0.1739 2.9511 1.1862
Zn 1.8590 -0.8696 2.4360
Zn -2.5807 -0.8253 1.6749
```

V   16.2 Å³/atom
Total energy   -49.0 eV per cell


Material: Na2Tm2B2TeO10
Method: DFT, PBE
State: optimized geometry

The structure in extended XYZ format:
```
34
Lattice="6.2396 0.0000 0.0000 0.0000 9.8159 0.0000 -1.5810 0.0000 6.4566" Properties=species:S:1:pos:R:3 pbc="T T T"
O 4.2101 5.5031 3.2825
O 2.1104 6.6117 3.5349
O -1.2541 3.4051 5.2986
O 4.1898 1.1502 4.1077
O 2.5481 3.2042 2.9218
O 3.8627 9.1855 2.1807
O 3.0722 5.5384 5.4091
O 4.9803 3.7577 0.8794
O 1.5863 4.2775 1.0476
O 5.1221 8.3131 4.3864
O -0.3217 6.0582 5.5772
O -0.3421 0.5951 6.4024
O 5.0006 9.2208 0.0542
O 0.7958 0.6304 4.2759
O 5.9126 6.4108 1.1580
O -0.4636 1.5028 2.0703
O 0.4688 8.6657 2.3489
O 0.4484 4.3128 3.1741
O 1.7576 1.7038 6.1501
O 2.9010 8.1121 0.3065
B 1.5217 3.9193 2.4171
B 3.1369 5.8966 4.0396
B 3.9274 8.8272 0.8113
B 0.7312 0.9887 5.6454
Tm 3.9050 1.6339 6.3100
Tm 0.7536 8.1820 0.1466
Tm 4.6955 3.2741 3.0817
Tm -0.0370 6.5418 3.3749
Te -0.7905 0.0000 3.2283
Te 0.0000 4.9079 0.0000
Na 2.0782 1.0851 2.1448
Na 2.5804 8.7308 4.3119
Na 1.2877 3.8228 5.3731
Na 3.3709 5.9931 1.0836
```

V   11.6 Å³/atom
Total energy   -238.7 eV per cell
Spin magnetization   0.00 Bohr magnetons per cell


Material: PaSbTe
Method: DFT, PBE
State: optimized geometry

The structure in extended XYZ format:
```
3
Lattice="4.3703 -2.3852 1.3290 1.1160 -0.7499 4.9747 -0.1598 -4.7513 1.9887" Properties=species:S:1:pos:R:3 pbc="T T T"
Te 3.9949 -5.9148 6.2192
Sb 1.3316 -1.9716 2.0731
Pa 0.0000 0.0000 0.0000
```

V   32.3 Å³/atom
Total energy   -18.2 eV per cell
Spin magnetization   0.00 Bohr magnetons per cell


Material: TaNbPb2
Method: DFT, PBE
State: optimized geometry

The structure in extended XYZ format:
```
4
Lattice="3.4975 2.9001 2.1644 -0.1107 0.7920 4.9687 3.5073 -2.0697 2.9568" Properties=species:S:1:pos:R:3 pbc="T T T"
Ta 3.4470 0.8112 5.0449
Pb 0.0000 0.0000 0.0000
Pb 1.7235 0.4056 2.5225
Nb 5.1705 1.2168 7.5674
```

V   22.5 Å³/atom
Total energy   -26.4 eV per cell
Spin magnetization   0.03 Bohr magnetons per cell


Material: TbNi5P2
Method: DFT, PBE
State: optimized geometry

The structure in extended XYZ format:
```
8
Lattice="-1.8389 3.2235 4.3831 1.8389 -3.2235 4.3831 1.8389 3.2235 -4.3831" Properties=species:S:1:pos:R:3 pbc="T T T"
Tb 0.0000 0.0000 0.0000
P 1.8389 0.0000 2.2220
P 0.0000 3.2235 2.1611
Ni 0.0000 1.2208 3.0378
Ni 0.0000 1.2208 5.7285
Ni 1.8389 2.0027 1.3453
Ni 0.0000 3.2235 0.0000
Ni 1.8389 2.0027 -1.3453
```

V   13.0 Å³/atom
Total energy   -49.1 eV per cell
Spin magnetization   0.01 Bohr magnetons per cell


Material: TbY2Sn2Pb5
Method: DFT, PBE
State: optimized geometry

The structure in extended XYZ format:
```
10
Lattice="2.2564 -13.4669 0.0000 2.2564 13.4669 0.0000 0.0000 0.0000 4.6114" Properties=species:S:1:pos:R:3 pbc="T T T"
Pb 2.2564 10.8067 0.0000
Pb 2.2564 -10.8067 0.0000
Pb 2.2564 -2.6793 2.3057
Pb 2.2564 2.6793 2.3057
Pb 2.2564 0.0000 0.0000
Y 2.2564 5.2178 0.0000
Y 2.2564 -5.2178 0.0000
Sn 2.2564 7.7816 2.3057
Sn 2.2564 -7.7816 2.3057
Tb 0.0000 0.0000 2.3057
```

V   28.0 Å³/atom
Total energy   -48.2 eV per cell
Spin magnetization   0.00 Bohr magnetons per cell


Material: NdDyCo
Method: DFT, PBE
State: optimized geometry

The structure in extended XYZ format:
```
3
Lattice="0.9959 -4.5962 -0.2335 -2.1165 -2.7070 -3.2193 2.4626 -1.6935 -3.6386" Properties=species:S:1:pos:R:3 pbc="T T T"
Co 0.0000 0.0000 0.0000
Nd 0.6710 -4.4983 -3.5456
Dy 0.3355 -2.2492 -1.7728
```

V   24.6 Å³/atom
Total energy   -14.2 eV per cell
Energy of formation from the pure elements   0.75 eV per atom
Spin magnetization   0.00 Bohr magnetons per cell


Material: PrNdBi4Au2
Method: DFT, PBE
State: optimized geometry

The structure in extended XYZ format:
```
8
Lattice="4.6702 0.0000 0.0000 0.0000 4.6702 0.0000 0.0000 0.0000 10.0909" Properties=species:S:1:pos:R:3 pbc="T T T"
Bi 2.3351 2.3351 1.9333
Bi 0.0000 0.0000 8.1732
Bi 2.3351 0.0000 5.0298
Bi 0.0000 2.3351 5.0298
Au 2.3351 0.0000 0.0137
Au 0.0000 2.3351 0.0137
Pr 2.3351 2.3351 7.7203
Nd 0.0000 0.0000 2.3580
```

V   27.5 Å³/atom
Total energy   -37.0 eV per cell
Spin magnetization   0.00 Bohr magnetons per cell


Material: RbCoAuS3
Method: DFT, PBE
State: optimized geometry

The structure in extended XYZ format:
```
12
Lattice="6.6564 -0.2764 -4.9153 -7.3394 2.7928 2.6226 4.4297 6.3429 5.6421" Properties=species:S:1:pos:R:3 pbc="T T T"
S 7.6012 3.2320 -1.3461
S -3.8545 5.6273 4.6954
S 0.2625 2.9543 0.5353
S -5.9986 2.5572 1.9645
S 9.7453 6.3021 1.3848
S 3.4842 5.9050 2.8141
Rb -0.9249 6.8719 5.1887
Rb 4.6716 1.9874 -1.8394
Co 1.8734 4.4296 1.6747
Co -0.3415 1.2582 -1.1464
Au 8.5693 4.7898 0.0753
Au -4.8226 4.0695 3.2740
```

V   22.4 Å³/atom
Total energy   -50.3 eV per cell
Spin magnetization   0.30 Bohr magnetons per cell


Material: Ho3Al5O12
Method: DFT, PBE
State: optimized geometry

The structure in extended XYZ format:
```
80
Lattice="-5.9851 5.9851 5.9851 5.9851 -5.9851 5.9851 5.9851 5.9851 -5.9851" Properties=species:S:1:pos:R:3 pbc="T T T"
Ho 7.4814 0.0000 2.9926
Ho 1.4963 0.0000 2.9926
Ho 2.9926 1.4963 0.0000
Ho 5.9851 2.9926 -1.4963
Ho 4.4888 5.9851 2.9926
Ho 2.9926 4.4888 5.9851
Ho -1.4963 5.9851 2.9926
Ho 2.9926 -1.4963 5.9851
Ho 0.0000 2.9926 1.4963
Ho 5.9851 2.9926 4.4888
Ho 2.9926 7.4814 0.0000
Ho 0.0000 2.9926 7.4814
O -1.2094 8.3565 2.6284
O 2.3714 2.6284 7.1946
O 5.6209 -0.6212 1.7831
O 3.6137 2.6284 4.7757
O -1.2094 3.6137 3.3568
O -1.7831 5.6209 5.3640
O 5.3640 1.7831 0.3642
O 2.3714 3.3568 1.2094
O 5.3640 -1.7831 5.6209
O 3.3568 7.1946 -2.3714
O 0.3642 5.3640 1.7831
O 3.3568 -1.2094 3.6137
O 4.7757 3.6137 2.6284
O 3.6137 -3.3568 7.1946
O -2.3714 3.3568 7.1946
O 1.7831 5.6209 -0.6212
O 3.6137 3.3568 -1.2094
O 7.1946 3.6137 -3.3568
O 2.3714 9.3419 -1.2094
O 4.2020 0.3642 6.6063
O 0.3642 0.6212 7.7682
O 2.6284 4.7757 3.6137
O 4.2020 5.6209 0.6212
O 1.2094 2.3714 3.3568
O 7.7682 0.3642 0.6212
O 6.6063 4.2020 0.3642
O 0.6212 4.2020 5.6209
O 5.6209 0.6212 4.2020
O 2.6284 7.1946 2.3714
O 4.2020 6.3493 5.3640
O 1.7831 -0.3642 0.6212
O 2.6284 -1.2094 8.3565
O 7.1946 2.3714 2.6284
O 9.3419 -1.2094 2.3714
O 3.3568 1.2094 2.3714
O 5.6209 5.3640 -1.7831
O 0.3642 6.6063 4.2020
O 0.6212 1.7831 -0.3642
O 1.7831 0.3642 5.3640
O 5.3640 4.2020 6.3493
O 6.3493 5.3640 4.2020
O 8.3565 2.6284 -1.2094
O -1.2094 2.3714 9.3419
O 0.6212 7.7682 0.3642
O 7.1946 -2.3714 3.3568
O -0.6212 1.7831 5.6209
O -0.3642 0.6212 1.7831
O -3.3568 7.1946 3.6137
Al 0.0000 0.0000 5.9851
Al 2.9926 4.4888 0.0000
Al 2.9926 2.9926 -2.9926
Al 2.9926 2.9926 2.9926
Al 0.0000 8.9777 1.4963
Al 2.9926 1.4963 5.9851
Al -2.9926 4.4889 5.9851
Al 5.9851 -2.9926 4.4889
Al 5.9851 2.9926 1.4963
Al 1.4963 0.0000 8.9777
Al 5.9851 0.0000 0.0000
Al 8.9777 1.4963 0.0000
Al 0.0000 2.9926 4.4888
Al 2.9926 -2.9926 2.9926
Al 4.4889 5.9851 -2.9926
Al 0.0000 5.9851 0.0000
Al 0.0000 0.0000 0.0000
Al -2.9926 2.9926 2.9926
Al 1.4963 5.9851 2.9926
Al 4.4888 0.0000 2.9926
```

V   10.7 Å³/atom
Total energy   -630.5 eV per cell
Spin magnetization   0.00 Bohr magnetons per cell


Material: ZrBiPO
Method: DFT, PBE
State: optimized geometry

The structure in extended XYZ format:
```
8
Lattice="3.7887 0.0000 0.0000 0.0000 8.3321 0.0000 0.0000 0.0000 5.4817" Properties=species:S:1:pos:R:3 pbc="T T T"
O 0.0000 6.0343 2.4226
O 0.0000 2.2979 5.1635
Zr 1.8943 2.9931 5.1554
Zr 1.8943 5.3390 2.4146
P 1.8943 2.7590 2.4267
P 1.8943 5.5731 5.1675
Bi 0.0000 7.5468 5.0918
Bi 0.0000 0.7854 2.3510
```

V   21.6 Å³/atom
Total energy   -55.2 eV per cell
Spin magnetization   0.01 Bohr magnetons per cell


Material: Gd2DyHoTl2
Method: DFT, PBE
State: optimized geometry

The structure in extended XYZ format:
```
6
Lattice="-2.7561 -4.6235 0.5313 5.3845 -0.1036 -0.5012 0.6307 0.3932 6.6935" Properties=species:S:1:pos:R:3 pbc="T T T"
Tl -0.0425 -3.1169 0.1871
Tl 0.3153 0.1966 3.3468
Gd 3.1437 -1.3155 4.8600
Gd 2.8289 -1.5118 1.5194
Dy 0.0000 0.0000 0.0000
Ho 0.2728 -2.9203 3.5339
```

V   28.4 Å³/atom
Total energy   -24.8 eV per cell
Spin magnetization   1.13 Bohr magnetons per cell


Material: TmZrGa2Ni4
Method: DFT, PBE
State: optimized geometry

The structure in extended XYZ format:
```
8
Lattice="-2.2512 -0.7187 3.3711 3.7854 -1.5859 -0.3242 3.1738 6.8440 3.5785" Properties=species:S:1:pos:R:3 pbc="T T T"
Ni 2.7834 0.8816 2.0467
Ni 0.5083 1.0961 0.5731
Ni 2.6655 5.7479 3.0054
Ni 3.9367 3.3687 3.3471
Ga 2.1641 4.1744 4.8490
Ga 0.5316 0.6541 3.0083
Tm 1.5869 3.4220 1.7893
Zr 1.7732 -1.2968 0.9076
```

V   15.3 Å³/atom
Total energy   -46.0 eV per cell
Spin magnetization   0.00 Bohr magnetons per cell


Material: TlCu2SeS2
Method: DFT, PBE
State: optimized geometry

The structure in extended XYZ format:
```
12
Lattice="1.2276 6.4686 -1.9415 -6.0327 -2.9204 -1.4824 -0.8306 0.9704 6.7099" Properties=species:S:1:pos:R:3 pbc="T T T"
S 0.4164 5.8853 -1.8962
S -6.0872 -1.5028 1.8438
S -3.4505 1.2591 1.6411
S -2.4265 3.6056 4.9050
Cu -1.8794 5.4863 3.7367
Cu -1.4971 0.1397 2.0994
Cu -0.8294 2.0253 5.3858
Cu -5.1850 0.1893 0.6171
Tl -2.7764 3.4849 0.3941
Tl -4.4660 2.3220 3.8296
Se -0.8194 4.8002 1.6848
Se -4.3510 -0.7891 -1.4206
```

V   22.0 Å³/atom
Total energy   -45.7 eV per cell


Material: BaPrTm
Method: DFT, PBE
State: optimized geometry

The structure in extended XYZ format:
```
3
Lattice="0.0000 4.1377 4.1377 4.1377 0.0000 4.1377 4.1377 4.1377 0.0000" Properties=species:S:1:pos:R:3 pbc="T T T"
Tm 0.0000 0.0000 0.0000
Pr 6.2065 6.2065 6.2065
Ba 2.0688 2.0688 2.0688
```

V   47.2 Å³/atom
Total energy   -8.9 eV per cell
Spin magnetization   1.68 Bohr magnetons per cell


Material: LaPrAg2Ge2
Method: DFT, PBE
State: optimized geometry

The structure in extended XYZ format:
```
6
Lattice="4.5937 0.0000 0.0000 -2.2968 3.9782 0.0000 0.0000 0.0000 7.8619" Properties=species:S:1:pos:R:3 pbc="T T T"
Pr 0.0000 0.0000 2.0261
La 0.0000 0.0000 5.9522
Ge 2.2968 1.3261 0.3351
Ge 0.0000 2.6522 4.2444
Ag 2.2968 1.3261 3.8351
Ag 0.0000 2.6522 7.8278
```

V   23.9 Å³/atom
Total energy   -28.4 eV per cell
Spin magnetization   0.00 Bohr magnetons per cell


Material: HfTaAsC
Method: DFT, PBE
State: optimized geometry

The structure in extended XYZ format:
```
8
Lattice="3.3668 0.0000 0.0000 -1.6834 2.9157 0.0000 0.0000 0.0000 12.2676" Properties=species:S:1:pos:R:3 pbc="T T T"
Ta 0.0000 1.9438 5.0047
Ta 1.6834 0.9719 7.2629
Hf 0.0000 1.9438 1.2360
Hf 1.6834 0.9719 11.0316
C 0.0000 0.0000 0.0000
C 0.0000 0.0000 6.1338
As 1.6834 0.9719 3.1830
As 0.0000 1.9438 9.0845
```

V   15.1 Å³/atom
Total energy   -77.9 eV per cell
Spin magnetization   0.00 Bohr magnetons per cell